No. 1
First-principles (PBE) data for a relaxed SnPdRu2 crystal, as listed in the Alexandria database.

Summary:
Total magnetic moment: 0.00 μB per formula unit
Symmetry: I-42d
Formation enthalpy at 0 K: 0.39 eV/atom

Cell and atoms, written as POSCAR:
```
SnPdRu2
1.0
-2.559 2.483 1.484
-0.165 -2.103 3.235
5.801 5.348 6.079
Pd Sn Ru
2 2 4
Direct
0.250 0.750 0.500 Pd
0.500 0.500 0.000 Pd
0.000 0.000 0.000 Sn
0.750 0.250 0.500 Sn
0.875 0.810 0.750 Ru
0.190 0.625 0.250 Ru
0.375 0.440 0.750 Ru
0.560 0.125 0.250 Ru
```


No. 2
First-principles (PBE) data for a relaxed SnPd2Ru2 crystal, as listed in the Alexandria database.

Summary:
Relative energy among the computed polymorphs: 0.0 meV per atom
Total magnetic moment: 0.00 μB per formula unit
Symmetry: P4/mbm
Formation enthalpy at 0 K: 0.22 eV/atom

Cell and atoms, written as POSCAR:
```
SnPd2Ru2
1.0
6.714 0.000 0.000
0.000 6.714 0.000
0.000 0.000 3.796
Ru Pd Sn
4 4 2
Direct
0.625 0.125 0.000 Ru
0.125 0.375 0.000 Ru
0.875 0.625 0.000 Ru
0.375 0.875 0.000 Ru
0.668 0.832 0.500 Pd
0.168 0.668 0.500 Pd
0.832 0.332 0.500 Pd
0.332 0.168 0.500 Pd
0.500 0.500 0.000 Sn
0.000 0.000 0.000 Sn
```


No. 3
First-principles (PBE) data for a relaxed Sn3PdRu crystal, as listed in the Alexandria database.

Summary:
Total magnetic moment: 0.00 μB per formula unit
Symmetry: Pm-3m
Formation enthalpy at 0 K: 0.25 eV/atom

Cell and atoms, written as POSCAR:
```
Sn3PdRu
1.0
5.080 0.000 0.000
0.000 5.080 0.000
0.000 0.000 5.080
Sn Ru Pd
3 1 1
Direct
0.500 0.000 0.000 Sn
0.000 0.500 0.000 Sn
0.000 0.000 0.500 Sn
0.000 0.000 0.000 Ru
0.500 0.500 0.500 Pd
```


no.,density (g/cm3),electronic total energy (Ry per atom)
1,9.93,-0.4808
2,10.36,-0.4683
3,7.14,-0.3707